A plane-wave DFT calculation with PBE was carried out for a relaxed structure of MgCd6Ga2.

Geometry as POSCAR:
```
MgCd6Ga2
1.0
4.117 0.000 -1.231
-0.696 6.636 -2.328
-0.120 0.106 7.099
Mg Cd Ga
1 6 2
Cartesian
1.710 3.318 -1.780
0.933 5.665 3.121
2.368 1.078 0.419
2.336 5.566 0.313
0.288 3.343 0.962
0.965 1.177 3.226
3.013 3.399 2.577
3.666 1.255 4.760
-0.365 5.488 -1.220
```

Values from the calculation:
Mass density: 7.2 g/cm³
Raw total energy: -1.46 eV per atom
Formation enthalpy at 0 K: 0.001 eV/atom



A plane-wave DFT calculation with PBE was carried out for a relaxed structure of Mg4CdGa2.

Geometry as POSCAR:
```
Mg4CdGa2
1.0
4.525 0.000 1.414
2.042 4.039 1.414
-0.074 -0.045 8.186
Mg Cd Ga
4 1 2
Cartesian
5.686 3.497 5.648
0.807 0.496 5.366
4.032 2.480 2.993
2.461 1.514 8.021
0.000 0.000 0.000
4.868 2.993 8.268
1.626 1.000 2.745
```

Values from the calculation:
Mass density: 3.9 g/cm³
Raw total energy: -1.98 eV per atom
Energy relative to the lowest polymorph listed for this composition: 0 meV/atom
Formation enthalpy at 0 K: -0.073 eV/atom



A plane-wave DFT calculation with PBE was carried out for a relaxed structure of Mg3CdGa12.

Geometry as POSCAR:
```
Mg3CdGa12
1.0
-3.668 0.202 2.238
-0.077 -4.293 0.262
8.550 0.698 13.952
Mg Cd Ga
3 1 12
Cartesian
2.173 0.177 3.546
4.275 0.349 6.976
6.377 0.520 10.406
0.000 0.000 0.000
-1.873 -2.045 1.250
0.307 -1.868 4.806
2.402 -1.697 8.226
4.498 -1.526 11.645
-0.717 0.192 2.942
1.383 0.364 6.368
3.499 0.536 9.822
5.599 0.708 13.248
1.078 -2.055 1.954
3.178 -1.884 5.380
5.295 -1.711 8.834
7.394 -1.540 12.260
```

Values from the calculation:
Mass density: 5.6 g/cm³
Raw total energy: -2.68 eV per atom
Formation enthalpy at 0 K: -0.056 eV/atom



A plane-wave DFT calculation with PBE was carried out for a relaxed structure of Mg5CdGa6.

Geometry as POSCAR:
```
Mg5CdGa6
1.0
4.206 0.055 -1.141
-2.941 6.924 -2.667
0.037 -0.050 7.981
Mg Ga Cd
5 6 1
Cartesian
1.661 1.098 5.699
-0.949 2.258 4.456
0.651 3.464 2.087
-1.955 4.615 0.858
-0.360 5.830 -1.525
0.845 0.579 2.873
1.470 3.976 4.923
2.448 1.821 0.508
-1.147 5.107 3.666
-0.168 2.952 -0.749
0.456 6.348 1.301
0.000 0.000 0.000
```

Values from the calculation:
Mass density: 4.6 g/cm³
Raw total energy: -2.36 eV per atom
Formation enthalpy at 0 K: -0.107 eV/atom